This record from the Alexandria database describes a relaxed LiP2WO crystal. The functional is GGA+U.

**Theoretical density**: 4.9 g/cm3
**Energy above the lowest structure with this stoichiometry**: 0.00 kJ/mol of atoms
**DFT total energy**: -5.234 eV/atom

The structure in POSCAR format:
```
LiP2WO
1.0
-1.7844 1.7269 4.1682
-4.3031 -1.9990 -1.0139
1.0759 -3.2280 1.7980
Li W O P
1 1 1 2
Cartesian
-2.5057 -1.7501 2.4761
0.0000 0.0000 0.0000
0.5380 -1.6140 0.8990
-0.8922 0.8634 2.0841
-2.1515 -0.9995 -0.5070
```